1.
Computed, not measured: a geometry-optimized Ag2BrCl structure at the PBE level of DFT.

Cell: 7.0140 7.0140 7.0140 Å, 90.00 90.00 90.00°
Space group Fm-3m (No. 225)
Unique sites:
Ag: 0.2500 0.2500 0.2500 x8
Br: 0.0000 0.0000 0.0000 x4
Cl: 0.0000 0.0000 0.5000 x4

Output
Relative energy among the computed polymorphs   187 meV/atom
Formation energy from raw total energies   -0.2017 eV/atom
D(E_F)   0.000 states/eV per cell


2.
Computed, not measured: a geometry-optimized Sm6PtRh2Cl3 structure at the PBE level of DFT.

Cell: 7.0651 12.2431 7.8263 Å, 90.00 107.46 90.00°
Space group C2/m (No. 12)
Unique sites:
Sm: 0.2277 0.0000 0.2043 x4
Sm: 0.2381 0.3300 0.2047 x8
Pt: 0.0000 0.5000 0.0000 x2
Rh: 0.0000 0.1666 0.0000 x4
Cl: 0.0000 0.0000 0.5000 x2
Cl: 0.0000 0.3293 0.5000 x4

Output
Formation energy from raw total energies   -1.2382 eV/atom
D(E_F)   11.413 states/eV per cell


3.
Computed, not measured: a geometry-optimized ZnHg2GeO4 structure at the PBE level of DFT.

Cell: 6.3254 7.4277 5.3222 Å, 90.00 90.00 90.00°
Space group Pmn2_1 (No. 31)
Unique sites:
Zn: 0.0000 0.0997 0.0000 x2
Hg: 0.2164 0.3644 0.5189 x4
Ge: 0.0000 0.8521 0.4971 x2
O: 0.0000 0.0696 0.6294 x2
O: 0.0000 0.8473 0.1549 x2
O: 0.2444 0.7482 0.5850 x4

Output
Formation energy from raw total energies   -0.9560 eV/atom
D(E_F)   0.006 states/eV per cell


4.
Computed, not measured: a geometry-optimized MnRuPt2Br structure at the PBE level of DFT.

Cell: 4.6629 4.6629 4.4191 Å, 90.00 90.00 90.00°
Space group P4/mmm (No. 123)
Unique sites:
Mn: 0.0000 0.0000 0.0000 x1
Ru: 0.0000 0.0000 0.5000 x1
Pt: 0.0000 0.5000 0.0000 x2
Br: 0.5000 0.5000 0.5000 x1

Output
Formation energy from raw total energies   1.2191 eV/atom
D(E_F)   7.766 states/eV per cell


Question: What is the D(E_F) in the third record?
Answer: 0.006 states/eV per cell


Question: Among the records above, which one has the lowest formation energy from raw total energies?
Answer: Sm6PtRh2Cl3